## A
Computed, not measured: a relaxed structure of TbTm2In at the GGA-PBE level of DFT.

Unit cell a=4.8095 b=4.8095 c=4.8071 alpha=90.00 beta=90.00 gamma=90.00
With the nearest neighbours (Å) after each atom.
Sites, in units of the cell vectors:
Tb: 0.0000 0.0000 0.0000  8 Tm 3.40, 4 In 3.40
Tm: 0.0000 0.5000 0.5000  4 Tb 3.40, 4 In 3.40, 4 Tm 3.40
Tm: 0.5000 0.0000 0.5000  4 Tb 3.40, 4 In 3.40, 4 Tm 3.40
In: 0.5000 0.5000 0.0000  8 Tm 3.40, 4 Tb 3.40

SG = P4/mmm (123)
Density = 9.1 g cm⁻³
Crystal system = tetragonal
Magnetic moment = 0.0 μB per formula unit

## B
Computed, not measured: a relaxed structure of TbTm2In at the GGA-PBE level of DFT.

Unit cell a=3.5599 b=3.5599 c=9.0505 alpha=90.00 beta=90.00 gamma=90.00
With the nearest neighbours (Å) after each atom.
Sites, in units of the cell vectors:
Tb: 0.0000 0.0000 0.0000  8 Tm 3.53, 4 Tb 3.56
Tm: 0.5000 0.5000 0.2729  4 In 3.25, 4 Tb 3.53, 4 Tm 3.56
Tm: 0.5000 0.5000 0.7271  4 In 3.25, 4 Tb 3.53, 4 Tm 3.56
In: 0.0000 0.0000 0.5000  8 Tm 3.25, 4 In 3.56

SG = P4/mmm (123)
Density = 8.9 g cm⁻³
Crystal system = tetragonal
Magnetic moment = 0.0 μB per formula unit

## C
Computed, not measured: a relaxed structure of TbTm2In at the GGA-PBE level of DFT.

Unit cell a=11.9889 b=11.9889 c=11.9889 alpha=16.52 beta=16.52 gamma=16.52
With the nearest neighbours (Å) after each atom.
Sites, in units of the cell vectors:
Tb: 0.0000 0.0000 0.0000  2 Tm 3.39, 6 Tb 3.44
Tm: 0.0956 0.0956 0.0956  3 In 3.21, 1 Tb 3.39, 6 Tm 3.44
Tm: 0.9044 0.9044 0.9044  3 In 3.21, 1 Tb 3.39, 6 Tm 3.44
In: 0.5000 0.5000 0.5000  6 Tm 3.21, 6 In 3.44

SG = R-3m (166)
Density = 8.4 g cm⁻³
Crystal system = trigonal
Magnetic moment = 0.6 μB per formula unit

Most stable = A

## A
Computed, not measured: a relaxed structure of TbTm2In at the GGA-PBE level of DFT.

Unit cell a=11.0627 b=11.0627 c=11.0627 alpha=18.37 beta=18.37 gamma=18.37
With the nearest neighbours (Å) after each atom.
Sites, in units of the cell vectors:
Tb: 0.0000 0.0000 0.0000  6 Tm 3.51-3.52, 6 Tb 3.53
Tm: 0.5789 0.5789 0.5789  3 In 3.29, 3 Tb 3.51, 6 Tm 3.53
Tm: 0.7546 0.7546 0.7546  3 In 3.28, 3 Tb 3.52, 6 Tm 3.53
In: 0.1666 0.1666 0.1666  6 Tm 3.28-3.29, 6 In 3.53

SG = R3m (160)
Density = 8.6 g cm⁻³
Crystal system = trigonal
Magnetic moment = 0.2 μB per formula unit

## B
Computed, not measured: a relaxed structure of TbTm2In at the GGA-PBE level of DFT.

Unit cell a=5.4037 b=5.4037 c=5.4037 alpha=60.00 beta=60.00 gamma=60.00
With the nearest neighbours (Å) after each atom.
Sites, in units of the cell vectors:
Tb: 0.0000 0.0000 0.0000  8 Tm 3.31
Tm: 0.2500 0.2500 0.2500  4 Tb 3.31, 4 In 3.31
Tm: 0.7500 0.7500 0.7500  4 Tb 3.31, 4 In 3.31
In: 0.5000 0.5000 0.5000  8 Tm 3.31

SG = Fm-3m (225)
Density = 9.1 g cm⁻³
Crystal system = cubic
Magnetic moment = 1.1 μB per formula unit

Most stable = A